No. 1
Here is a relaxed Ba2NaLiAg crystal from the Alexandria database. Energies are from PBE.

Values from the calculation:
Fermi-level density of states ... 0.8283 states/eV/atom
Calculated formation energy ... 44 meV/atom
E ... -0.0714 Ha/atom
Distance to the lowest polymorph of the same formula ... 77 meV per atom

a = 6.487 Å, b = 6.487 Å, c = 5.670 Å
α = 90.00°, β = 90.00°, γ = 90.00°
Sites, in units of the cell vectors:
Ba1 0.000 0.500 0.000
Ba2 0.500 0.000 0.000
Na1 0.000 0.000 0.500
Li1 0.500 0.500 0.500
Ag1 0.000 0.000 0.000

***

No. 2
Here is a relaxed ScInSb3 crystal from the Alexandria database. Energies are from PBE.

Values from the calculation:
Fermi-level density of states ... 1.2537 states/eV/atom
E ... -0.1331 Ha/atom
Energy relative to the elements, uncorrected ... 0.67 eV per atom
Distance to the lowest polymorph of the same formula ... 570 meV per atom

a = 5.523 Å, b = 5.523 Å, c = 5.523 Å
α = 90.00°, β = 90.00°, γ = 90.00°
Sites, in units of the cell vectors:
Sc1 0.000 0.000 0.000
In1 0.500 0.500 0.500
Sb1 0.000 0.500 0.500
Sb2 0.500 0.000 0.500
Sb3 0.500 0.500 0.000

***

No. 3
Here is a relaxed CsNaIr2 crystal from the Alexandria database. Energies are from PBE.

Values from the calculation:
Fermi-level density of states ... 0.4137 states/eV/atom
Calculated formation energy ... 1131 meV/atom
E ... -0.1412 Ha/atom
Distance to the lowest polymorph of the same formula ... 0 meV per atom

a = 12.253 Å, b = 12.253 Å, c = 12.253 Å
α = 159.46°, β = 159.46°, γ = 29.21°
Sites, in units of the cell vectors:
Cs1 0.000 0.000 0.000
Cs2 0.750 0.250 0.500
Na1 0.250 0.750 0.500
Na2 0.500 0.500 0.000
Ir1 0.375 0.242 0.367
Ir2 0.758 0.125 0.133
Ir3 0.875 0.008 0.633
Ir4 0.992 0.625 0.867

***

No. 4
Here is a relaxed ErHfAu crystal from the Alexandria database. Energies are from PBE.

Values from the calculation:
Fermi-level density of states ... 1.6336 states/eV/atom
Calculated formation energy ... -394 meV/atom
E ... -0.2325 Ha/atom
Distance to the lowest polymorph of the same formula ... 61 meV per atom

a = 6.439 Å, b = 6.439 Å, c = 6.439 Å
α = 149.58°, β = 149.58°, γ = 43.55°
Sites, in units of the cell vectors:
Er1 0.000 0.000 0.000
Hf1 0.685 0.685 0.000
Au1 0.324 0.324 0.000

***

No. 5
Here is a relaxed Th3UFe4 crystal from the Alexandria database. Energies are from PBE.

Values from the calculation:
Fermi-level density of states ... 1.1515 states/eV/atom
Calculated formation energy ... -13 meV/atom
E ... -0.3101 Ha/atom

a = 11.274 Å, b = 7.355 Å, c = 7.921 Å
α = 90.00°, β = 90.00°, γ = 90.00°
Sites, in units of the cell vectors:
Th1 0.088 0.250 0.212
Th2 0.165 0.011 0.620
Th3 0.165 0.489 0.620
Th4 0.335 0.511 0.120
Th5 0.335 0.989 0.120
Th6 0.412 0.750 0.712
Th7 0.588 0.250 0.288
Th8 0.665 0.011 0.880
Th9 0.665 0.489 0.880
Th10 0.835 0.511 0.380
Th11 0.835 0.989 0.380
Th12 0.912 0.750 0.788
U1 0.060 0.750 0.170
U2 0.440 0.250 0.670
U3 0.560 0.750 0.330
U4 0.940 0.250 0.830
Fe1 0.034 0.750 0.443
Fe2 0.105 0.567 0.950
Fe3 0.105 0.933 0.950
Fe4 0.229 0.250 0.905
Fe5 0.271 0.750 0.405
Fe6 0.395 0.067 0.450
Fe7 0.395 0.433 0.450
Fe8 0.466 0.250 0.943
Fe9 0.534 0.750 0.057
Fe10 0.605 0.567 0.550
Fe11 0.605 0.933 0.550
Fe12 0.729 0.250 0.595
Fe13 0.771 0.750 0.095
Fe14 0.895 0.067 0.050
Fe15 0.895 0.433 0.050
Fe16 0.966 0.250 0.557

***

No. 6
Here is a relaxed Co2TcRh2 crystal from the Alexandria database. Energies are from PBE.

Values from the calculation:
Fermi-level density of states ... 1.2786 states/eV/atom
Calculated formation energy ... 289 meV/atom
E ... -0.2781 Ha/atom
Distance to the lowest polymorph of the same formula ... 74 meV per atom

a = 7.121 Å, b = 7.121 Å, c = 2.650 Å
α = 90.00°, β = 90.00°, γ = 90.00°
Sites, in units of the cell vectors:
Co1 0.170 0.330 0.000
Co2 0.330 0.830 0.000
Co3 0.670 0.170 0.000
Co4 0.830 0.670 0.000
Tc1 0.000 0.000 0.500
Tc2 0.500 0.500 0.500
Rh1 0.129 0.629 0.500
Rh2 0.371 0.129 0.500
Rh3 0.629 0.871 0.500
Rh4 0.871 0.371 0.500

***

No. 7
Here is a relaxed SrH2Au crystal from the Alexandria database. Energies are from PBE.

Values from the calculation:
Fermi-level density of states ... 0.2373 states/eV/atom
E ... -0.1226 Ha/atom
Distance to the lowest polymorph of the same formula ... 1 meV per atom

a = 12.606 Å, b = 4.315 Å, c = 5.003 Å
α = 90.00°, β = 90.00°, γ = 90.00°
Sites, in units of the cell vectors:
Sr1 0.136 0.250 0.085
Sr2 0.364 0.750 0.585
Sr3 0.636 0.250 0.415
Sr4 0.864 0.750 0.915
H1 0.059 0.750 0.911
H2 0.183 0.750 0.328
H3 0.317 0.250 0.828
H4 0.441 0.250 0.411
H5 0.559 0.750 0.589
H6 0.683 0.750 0.172
H7 0.817 0.250 0.672
H8 0.941 0.250 0.089
Au1 0.093 0.750 0.582
Au2 0.407 0.250 0.082
Au3 0.593 0.750 0.918
Au4 0.907 0.250 0.418

***

No. 8
Here is a relaxed Ba2Tl2IrO6 crystal from the Alexandria database. Energies are from PBE.

Values from the calculation:
Fermi-level density of states ... 0.3725 states/eV/atom
E ... -0.2087 Ha/atom
Energy relative to the elements, uncorrected ... -1.39 eV per atom

a = 6.456 Å, b = 6.456 Å, c = 6.313 Å
α = 96.63°, β = 96.63°, γ = 119.11°
Sites, in units of the cell vectors:
Ba1 0.162 0.838 0.000
Ba2 0.838 0.162 0.000
Tl1 0.349 0.651 0.500
Tl2 0.651 0.349 0.500
Ir1 0.500 0.500 0.000
O1 0.201 0.457 0.831
O2 0.314 0.314 0.218
O3 0.457 0.201 0.831
O4 0.543 0.799 0.169
O5 0.686 0.686 0.782
O6 0.799 0.543 0.169

***

Among the records above, which one has the highest E? Ba2NaLiAg